Record 1
Material: Cr3FeNi
Method: DFT, PBE
State: optimized geometry

```
Cr3FeNi
1.0
4.138 0.000 0.000
0.000 4.138 0.000
0.000 0.000 4.138
Cr Fe Ni
3 1 1
Direct
0.000 0.000 0.500 Cr
0.000 0.500 0.000 Cr
0.500 0.000 0.000 Cr
0.000 0.000 0.000 Fe
0.500 0.500 0.500 Ni
```

Values from the calculation:
* electronic total energy: -36.854 eV/cell
* crystal system: cubic

***

Record 2
Material: CsVPCl2
Method: DFT, PBE
State: optimized geometry

```
CsVPCl2
1.0
5.213 0.000 0.000
0.000 5.213 0.000
0.000 0.000 4.702
Cs V P Cl
1 1 1 2
Direct
0.000 0.000 0.000 Cs
0.500 0.500 0.500 V
0.500 0.500 0.000 P
0.000 0.500 0.500 Cl
0.500 0.000 0.500 Cl
```

Values from the calculation:
* crystal system: tetragonal
* E_form (uncorrected): -0.832 eV per atom

***

Record 3
Material: AcBiRhSe
Method: DFT, PBE
State: optimized geometry

```
AcBiRhSe
1.0
5.031 0.000 0.000
0.000 5.031 0.000
0.000 0.000 8.799
Ac Bi Rh Se
2 2 2 2
Direct
0.250 0.250 0.192 Ac
0.750 0.750 0.808 Ac
0.250 0.250 0.632 Bi
0.750 0.750 0.368 Bi
0.250 0.750 0.500 Rh
0.750 0.250 0.500 Rh
0.250 0.750 0.000 Se
0.750 0.250 0.000 Se
```

Values from the calculation:
* crystal system: tetragonal
* E_form (uncorrected): -0.965 eV per atom

***

Record 4
Material: Zr2RhCl
Method: DFT, PBE
State: optimized geometry

```
Zr2RhCl
1.0
0.000 3.382 3.382
3.382 0.000 3.382
3.382 3.382 0.000
Zr Rh Cl
2 1 1
Direct
0.000 0.000 0.000 Zr
0.250 0.250 0.250 Zr
0.500 0.500 0.500 Rh
0.750 0.750 0.750 Cl
```

Values from the calculation:
* E above lowest polymorph: 1028 meV per atom
* crystal system: cubic
* E_form (uncorrected): 0.296 eV per atom

***

Record 5
Material: RbLiOsPd2
Method: DFT, PBE
State: optimized geometry

```
RbLiOsPd2
1.0
5.076 0.000 0.000
0.000 5.076 0.000
0.000 0.000 4.270
Rb Li Os Pd
1 1 1 2
Direct
0.000 0.000 0.000 Rb
0.000 0.000 0.500 Li
0.500 0.500 0.500 Os
0.000 0.500 0.000 Pd
0.500 0.000 0.000 Pd
```

Values from the calculation:
* electronic total energy: -14.524 eV/cell
* crystal system: tetragonal

***

Record 6
Material: BaPuNO2
Method: DFT, PBE
State: optimized geometry

```
BaPuNO2
1.0
4.414 0.000 0.000
0.000 4.414 0.000
0.000 0.000 4.232
Ba Pu N O
1 1 1 2
Direct
0.000 0.000 0.000 Ba
0.500 0.500 0.500 Pu
0.500 0.500 0.000 N
0.000 0.500 0.500 O
0.500 0.000 0.500 O
```

Values from the calculation:
* crystal system: tetragonal
* E_form (uncorrected): -2.268 eV per atom

***

Record 7
Material: Ba2CrHgN
Method: DFT, PBE
State: optimized geometry

```
Ba2CrHgN
1.0
5.979 0.000 0.000
0.000 5.979 0.000
0.000 0.000 3.824
Ba Cr Hg N
2 1 1 1
Direct
0.000 0.500 0.000 Ba
0.500 0.000 0.000 Ba
0.000 0.000 0.500 Cr
0.500 0.500 0.500 Hg
0.000 0.000 0.000 N
```

Values from the calculation:
* crystal system: tetragonal
* E_form (uncorrected): -0.372 eV per atom

***

Record 8
Material: Li2Ga3Ru2
Method: DFT, PBE
State: optimized geometry

```
Li2Ga3Ru2
1.0
7.026 0.000 0.000
0.000 4.841 0.000
-0.118 0.000 6.290
Li Ga Ru
4 6 4
Direct
0.145 0.046 0.121 Li
0.145 0.454 0.621 Li
0.855 0.546 0.379 Li
0.855 0.954 0.879 Li
0.000 0.000 0.500 Ga
0.000 0.500 0.000 Ga
0.396 0.126 0.815 Ga
0.396 0.374 0.315 Ga
0.604 0.626 0.685 Ga
0.604 0.874 0.185 Ga
0.329 0.637 0.957 Ru
0.329 0.863 0.457 Ru
0.671 0.137 0.543 Ru
0.671 0.363 0.043 Ru
```

Values from the calculation:
* electronic total energy: -64.916 eV/cell
* crystal system: monoclinic

***

Record 9
Material: La3YTh4S8
Method: DFT, PBE
State: optimized geometry

```
La3YTh4S8
1.0
4.038 2.332 6.734
-4.038 2.332 6.734
0.000 -4.663 6.734
La Y Th S
3 1 4 8
Direct
0.000 0.500 0.500 La
0.500 0.000 0.500 La
0.500 0.500 0.000 La
0.000 0.000 0.000 Y
0.000 0.000 0.500 Th
0.000 0.500 0.000 Th
0.500 0.000 0.000 Th
0.500 0.500 0.500 Th
0.242 0.755 0.755 S
0.245 0.245 0.758 S
0.245 0.758 0.245 S
0.248 0.248 0.248 S
0.752 0.752 0.752 S
0.755 0.242 0.755 S
0.755 0.755 0.242 S
0.758 0.245 0.245 S
```

Values from the calculation:
* crystal system: trigonal
* E_form (uncorrected): -1.974 eV per atom

***

Record 10
Material: DyIn2Hg7
Method: DFT, PBE
State: optimized geometry

```
DyIn2Hg7
1.0
3.044 -12.813 0.000
3.044 12.813 0.000
0.000 0.000 3.308
Dy In Hg
1 2 7
Direct
0.000 0.000 0.000 Dy
0.297 0.703 0.500 In
0.703 0.297 0.500 In
0.144 0.343 0.500 Hg
0.195 0.805 0.000 Hg
0.343 0.144 0.500 Hg
0.500 0.500 0.500 Hg
0.657 0.856 0.500 Hg
0.805 0.195 0.000 Hg
0.856 0.657 0.500 Hg
```

Values from the calculation:
* electronic total energy: -12.864 eV/cell
* crystal system: orthorhombic